{
  "formula": "K2PtC4I2N4",
  "functional": "PBE",
  "state": "relaxed",
  "e_form_raw_ev_per_atom": -0.16,
  "lattice": [[7.401, 0.000, 0.000], [0.000, 9.899, 0.000], [-2.857, 0.000, 8.642]],
  "species": ["K", "K", "K", "K", "Pt", "Pt", "C", "C", "C", "C", "C", "C", "C", "C", "I", "I", "I", "I", "N", "N", "N", "N", "N", "N", "N", "N"],
  "fractional_positions": [[0.046, 0.198, 0.386], [0.046, 0.302, 0.886], [0.954, 0.698, 0.114], [0.954, 0.802, 0.614], [0.500, 0.000, 0.000], [0.500, 0.500, 0.500], [0.302, 0.040, 0.796], [0.302, 0.460, 0.296], [0.307, 0.047, 0.106], [0.307, 0.453, 0.606], [0.693, 0.547, 0.394], [0.693, 0.953, 0.894], [0.698, 0.540, 0.704], [0.698, 0.960, 0.204], [0.382, 0.738, 0.971], [0.382, 0.762, 0.471], [0.618, 0.238, 0.529], [0.618, 0.262, 0.029], [0.181, 0.063, 0.680], [0.181, 0.437, 0.180], [0.192, 0.079, 0.163], [0.192, 0.421, 0.663], [0.808, 0.579, 0.337], [0.808, 0.921, 0.837], [0.819, 0.563, 0.820], [0.819, 0.937, 0.320]]
}